[1]
VASP calculation (SCAN) on a PBEsol-optimized structure of Y2PbN2.

Computed properties:
DFT total energy = -31.071 eV/atom
Fermi-level density of states = 1.7 states/eV/cell
M_tot = 0.0 μB per formula unit
Raw formation energy = -5.30 eV/f.u.

a b c (Å): 6.279 6.279 6.279
angles (deg): 140.79 140.79 56.65
Fractional coordinates of all 5 atoms:
Y 0.178 0.178 0.000
Y 0.822 0.822 0.000
Pb 0.500 0.500 0.000
N 0.250 0.750 0.500
N 0.750 0.250 0.500



[2]
VASP calculation (SCAN) on a PBEsol-optimized structure of NbTlBi2N.

Computed properties:
DFT total energy = -53.196 eV/atom
Fermi-level density of states = 2.5 states/eV/cell
M_tot = 3.0 μB per formula unit
Raw formation energy = 5.96 eV/f.u.

a b c (Å): 5.392 5.392 5.511
angles (deg): 90.00 90.00 90.00
Fractional coordinates of all 5 atoms:
Nb 0.000 0.000 0.000
Tl 0.000 0.000 0.500
Bi 0.000 0.500 0.000
Bi 0.500 0.000 0.000
N 0.500 0.500 0.500



[3]
VASP calculation (SCAN) on a PBEsol-optimized structure of CrCu2Ag.

Computed properties:
DFT total energy = -19.853 eV/atom
Fermi-level density of states = 1.4 states/eV/cell
Excess energy over the best structure of this formula in the dataset = 0.00 kcal/mol of atoms
M_tot = 4.4 μB per formula unit
ΔH_f (0 K) = 0.185 eV/atom

a b c (Å): 3.882 3.882 3.618
angles (deg): 90.00 90.00 90.00
Fractional coordinates of all 4 atoms:
Cr 0.000 0.000 0.000
Cu 0.000 0.500 0.500
Cu 0.500 0.000 0.500
Ag 0.500 0.500 0.000



[4]
VASP calculation (SCAN) on a PBEsol-optimized structure of Fe2Rh.

Computed properties:
DFT total energy = -23.453 eV/atom
Fermi-level density of states = 3.9 states/eV/cell
M_tot = 6.7 μB per formula unit
ΔH_f (0 K) = -0.109 eV/atom

a b c (Å): 2.576 4.847 6.207
angles (deg): 77.37 81.21 78.09
Fractional coordinates of all 6 atoms:
Fe 0.063 0.078 0.170
Fe 0.231 0.240 0.496
Fe 0.769 0.760 0.504
Fe 0.937 0.922 0.830
Rh 0.391 0.412 0.826
Rh 0.609 0.588 0.174



What is the DFT total energy in the fourth record?
-23.453 eV/atom



DFT total energy of number 2 (NbTlBi2N)?
-53.196 eV/atom